(1)
Tl2AsCl PBE optimized geometry; offset from the most stable computed form = 0.000 eV per formula unit; formation energy (no corrections) = -334 meV per atom; VASP energy = -3.141 eV/atom; space-group type = No. 65
1.0
-1.3431 1.1077 -3.9908
1.8507 -3.5965 -1.6117
-5.1299 -3.0358 0.8837
As Tl Cl
1 2 1
Cartesian
-1.9245 -1.1389 0.3315
-1.6688 -2.3822 -2.4700
-4.4900 -2.6571 0.7735
-4.2337 -3.9000 -2.0282

(2)
PmPrEr2Tm PBE optimized geometry; VASP energy = -4.272 eV/atom; space-group type = No. 63; calculated formation energy = 0.354 eV per atom
1.0
6.3917 0.0000 0.0000
0.0000 6.3992 0.0000
0.0000 -3.1996 8.3582
Tm Er Pm Pr
2 4 2 2
Cartesian
4.7938 3.1996 4.1975
1.5979 0.0000 4.1607
3.1958 1.5985 0.0000
0.0000 1.5985 0.0000
0.0000 4.8007 0.0000
3.1958 4.8007 0.0000
1.5979 3.1996 5.7404
4.7938 0.0000 2.6179
1.5979 3.1996 2.6443
4.7938 0.0000 5.7139

(3)
Pm3SbN2 PBE optimized geometry; formation energy (no corrections) = -1131 meV per atom; VASP energy = -6.968 eV/atom; space-group type = No. 26
1.0
3.5272 0.0000 0.0000
0.0000 6.5202 0.0000
0.0000 0.0000 11.2280
N Pm Sb
4 6 2
Cartesian
0.0000 0.1004 2.7816
1.7636 3.4422 5.5633
0.0000 3.3605 8.4464
1.7636 0.1821 5.6647
1.7636 1.8045 7.5255
1.7636 0.7457 1.2318
0.0000 1.5816 4.5826
1.7636 4.0058 9.9962
0.0000 4.8417 6.6454
1.7636 5.0646 3.7025
0.0000 3.4183 1.5079
0.0000 0.1582 9.7201

(4)
BaCrAg2 PBE optimized geometry; offset from the most stable computed form = 0.165 eV per formula unit; VASP energy = -4.104 eV/atom; space-group type = No. 160; calculated formation energy = 0.208 eV per atom
1.0
-1.8820 1.6864 -4.0415
-2.7792 -2.7928 -2.6826
-6.1801 1.4397 0.6653
Ba Cr Ag
1 1 2
Cartesian
-5.3712 0.1463 -3.0638
-1.8957 -0.2349 -2.0258
-4.8163 -1.0456 -6.6261
-8.8400 0.5277 -4.0967

(5)
Pu4GePSe2 PBE optimized geometry; formation energy (no corrections) = -1092 meV per atom; VASP energy = -10.383 eV/atom; space-group type = No. 10
1.0
-0.4572 4.0587 0.2116
-1.8880 0.1470 -6.8969
-7.0771 -0.7694 -0.5313
Se P Pu Ge
2 1 4 1
Cartesian
-3.7671 1.6447 -0.1598
-7.0771 -0.7694 -0.5313
-1.1726 2.1029 -3.3427
-6.7555 -0.4747 -5.4884
-3.3624 1.9512 -5.1641
-2.6667 3.9110 -1.7282
-6.0598 1.4851 -2.0526
-4.4826 -0.3112 -3.7141

(6)
La2PrHo2Mg5 PBE optimized geometry; VASP energy = -3.175 eV/atom; space-group type = No. 127; calculated formation energy = 0.002 eV per atom
1.0
-1.6045 -1.4350 -4.6998
-8.8847 -4.1697 4.3064
-4.9864 9.4144 -1.1722
Mg La Pr Ho
10 4 2 4
Cartesian
-5.2446 -2.8023 -0.1967
-2.9514 -0.8599 -1.5727
-10.0321 -2.6920 1.4041
-5.4435 6.5017 -2.9696
-6.0831 0.3242 -0.8651
-9.1520 0.3749 0.1672
-6.3236 3.4348 -1.7327
-3.2955 3.9897 -2.9360
-9.3925 3.4854 -0.7005
-12.5242 4.6695 0.0071
-6.9906 6.4076 0.4301
-6.8805 -1.1630 2.7041
-3.1784 2.3194 0.3769
-10.6927 2.9252 2.7573
-6.9355 2.6223 1.5671
0.0000 0.0000 0.0000
-9.7145 -0.0914 3.3444
-4.1565 5.3361 -0.2102
-3.9749 -0.4559 1.4962
-9.8962 5.7006 1.6380